An optimized crystal structure of CoTc2Br, computed with PBEsol.

```
CoTc2Br
1.0
4.053 -1.424 0.000
4.053 1.424 0.000
-3.454 0.000 6.238
Co Tc Br
1 2 1
Cartesian
0.000 0.000 0.000 Co
-1.099 0.000 5.280 Tc
5.750 0.000 0.958 Tc
2.326 0.000 3.119 Br
```

Output
energy above the lowest structure with this stoichiometry = 0.00 eV per formula unit
DOS at the Fermi energy = 4.622 states/eV/f.u.
energy relative to the elements, uncorrected = 0.725 eV per atom
V = 18.001 Å³ per atom
symmetry = C2/m (12)

An optimized crystal structure of Li2PbSe2, computed with PBEsol.

```
Li2PbSe2
1.0
-1.970 1.970 6.602
1.970 -1.970 6.602
1.970 1.970 -6.602
Li Pb Se
2 1 2
Cartesian
1.970 0.000 3.301 Li
0.000 1.970 3.301 Li
0.000 0.000 0.000 Pb
0.000 0.000 4.889 Se
0.000 0.000 8.315 Se
```

Output
energy relative to the elements, uncorrected = -0.840 eV per atom
V = 20.488 Å³ per atom
symmetry = I4/mmm (139)